1.
# TaIn2Br (GGA-PBEsol, optimized geometry)
data_TaIn2Br
_chemical_formula_sum 'Ta3 In6 Br3'
_symmetry_space_group_name_H-M 'R -3 m'
_symmetry_Int_Tables_number 166
_symmetry_space_group_name_Hall '-R 3 2"'
_cell_length_a 3.2882
_cell_length_b 3.2882
_cell_length_c 27.4673
_cell_angle_alpha 90.00
_cell_angle_beta 90.00
_cell_angle_gamma 120.00
loop_
_atom_site_label
_atom_site_type_symbol
_atom_site_fract_x
_atom_site_fract_y
_atom_site_fract_z
Ta1 Ta 0.0000 0.0000 0.0000
In1 In 0.0000 0.0000 0.2529
Br1 Br 0.0000 0.0000 0.5000
# **Crystal system**: trigonal
# **Relative energy among the computed polymorphs**: 37 kJ/mol of formula units
# **Calculated volume**: 21.4 Å³ per atom
# **Uncorrected formation energy**: 0.159 eV/atom

=====

2.
# LaSbBr2 (GGA-PBEsol, optimized geometry)
data_LaSbBr2
_chemical_formula_sum 'La4 Sb4 Br8'
_symmetry_space_group_name_H-M 'I -4 2 d'
_symmetry_Int_Tables_number 122
_symmetry_space_group_name_Hall 'I -4 2bw'
_cell_length_a 4.825
_cell_length_b 4.825
_cell_length_c 20.514
_cell_angle_alpha 90.00
_cell_angle_beta 90.00
_cell_angle_gamma 90.00
loop_
_atom_site_label
_atom_site_type_symbol
_atom_site_fract_x
_atom_site_fract_y
_atom_site_fract_z
La1 La 0.000 0.000 0.000
Sb1 Sb 0.000 0.000 0.500
Br1 Br 0.242 0.250 0.125
# **Crystal system**: tetragonal
# **Calculated volume**: 29.9 Å³ per atom
# **Uncorrected formation energy**: -1.038 eV/atom

=====

3.
# Re2MoP (GGA-PBEsol, optimized geometry)
data_Re2MoP
_chemical_formula_sum 'Re2 Mo1 P1'
_symmetry_space_group_name_H-M 'P m m m'
_symmetry_Int_Tables_number 47
_cell_length_a 2.959
_cell_length_b 4.353
_cell_length_c 4.376
_cell_angle_alpha 90.00
_cell_angle_beta 90.00
_cell_angle_gamma 90.00
loop_
_symmetry_equiv_pos_as_xyz
'x,y,z'
'-x,-y,-z'
'-x,-y,z'
'x,y,-z'
'x,-y,-z'
'-x,y,z'
'-x,y,-z'
'x,-y,z'
loop_
_atom_site_label
_atom_site_type_symbol
_atom_site_fract_x
_atom_site_fract_y
_atom_site_fract_z
Re1 Re 0.000 0.000 0.000
Re2 Re 0.500 0.000 0.500
Mo1 Mo 0.000 0.500 0.500
P1 P 0.500 0.500 0.000
# **Energy of formation from the pure elements**: 0.5 eV/f.u.
# **Crystal system**: orthorhombic
# **Calculated volume**: 14.1 Å³ per atom

=====

4.
# Mg3Mo (GGA-PBEsol, optimized geometry)
data_Mg3Mo
_chemical_formula_sum 'Mg6 Mo2'
_symmetry_space_group_name_H-M 'P 63/m m c'
_symmetry_Int_Tables_number 194
_symmetry_space_group_name_Hall '-P 6c 2c'
_cell_length_a 5.8746
_cell_length_b 5.8746
_cell_length_c 4.8885
_cell_angle_alpha 90.00
_cell_angle_beta 90.00
_cell_angle_gamma 120.00
loop_
_atom_site_label
_atom_site_type_symbol
_atom_site_fract_x
_atom_site_fract_y
_atom_site_fract_z
Mg1 Mg 0.1722 0.3443 0.2500
Mo1 Mo 0.3333 0.6667 0.7500
# **Energy of formation from the pure elements**: 1.7 eV/f.u.
# **Crystal system**: hexagonal
# **Relative energy among the computed polymorphs**: 44 kJ/mol of formula units
# **Calculated volume**: 18.3 Å³ per atom